Crystalline Dy5Pt3 at its relaxed geometry, computed with PBE-GGA.

Lattice parameters (Å, degrees): 11.025 11.025 6.479 90.00 90.00 90.00
Atoms (fractional coordinates):
Dy: 0.043 0.160 0.122
Dy: 0.043 0.340 0.622
Dy: 0.160 0.043 0.622
Dy: 0.160 0.457 0.122
Dy: 0.250 0.750 0.000
Dy: 0.250 0.750 0.500
Dy: 0.340 0.043 0.122
Dy: 0.340 0.457 0.622
Dy: 0.457 0.160 0.622
Dy: 0.457 0.340 0.122
Dy: 0.543 0.660 0.878
Dy: 0.543 0.840 0.378
Dy: 0.660 0.543 0.378
Dy: 0.660 0.957 0.878
Dy: 0.750 0.250 0.000
Dy: 0.750 0.250 0.500
Dy: 0.840 0.543 0.878
Dy: 0.840 0.957 0.378
Dy: 0.957 0.660 0.378
Dy: 0.957 0.840 0.878
Pt: 0.096 0.596 0.750
Pt: 0.096 0.904 0.250
Pt: 0.250 0.250 0.382
Pt: 0.250 0.250 0.882
Pt: 0.404 0.596 0.250
Pt: 0.404 0.904 0.750
Pt: 0.596 0.096 0.250
Pt: 0.596 0.404 0.750
Pt: 0.750 0.750 0.118
Pt: 0.750 0.750 0.618
Pt: 0.904 0.096 0.750
Pt: 0.904 0.404 0.250

Values from the calculation:
E above lowest polymorph	0	meV/atom
energy relative to the elements	-1.04	eV per atom
VASP energy	-6.184	eV/atom
space group	P4/ncc, No. 130
DOS(E_F)	1.024	states/eV/atom